Record 1
Compound: SrSbCl2
Source: the Alexandria database
Functional: PBEsol
Structure: relaxed

Lattice parameters (Å, degrees): 7.6199 7.6199 7.6199 90.00 90.00 90.00
With the nearest neighbours (Å) after each atom.
Space group F-43m (No. 216)
Unique sites:
Sr1 0.0000 0.0000 0.0000 x4  4 Sb 3.30, 4 Cl 3.30
Sb1 0.2500 0.2500 0.7500 x4  4 Cl 3.30, 4 Sr 3.30
Cl1 0.0000 0.0000 0.5000 x4  4 Cl 3.30, 4 Sb 3.30
Cl2 0.2500 0.2500 0.2500 x4  4 Cl 3.30, 4 Sr 3.30

Properties
ΔE_f (raw) (eV per atom): -0.729
Total magnetic moment (μB per atom): 0.717
Relative energy among the computed polymorphs (eV/atom): 0.572
Crystal system: cubic

***

Record 2
Compound: BaGa3Pb
Source: the Alexandria database
Functional: PBEsol
Structure: relaxed

Lattice parameters (Å, degrees): 5.6944 5.6944 5.6944 90.00 90.00 90.00
With the nearest neighbours (Å) after each atom.
Space group Pm-3m (No. 221)
Unique sites:
Ba1 0.0000 0.0000 0.0000 x1  6 Ga 2.85
Ga1 0.0000 0.0000 0.5000 x3  2 Ba 2.85
Pb1 0.5000 0.5000 0.5000 x1  12 Ga 4.03

Properties
Total magnetic moment (μB per atom): 0.000
Crystal system: cubic
ΔH_f (0 K) (eV/atom): 0.931

***

Record 3
Compound: SrSbIr2
Source: the Alexandria database
Functional: PBEsol
Structure: relaxed

Lattice parameters (Å, degrees): 3.1723 3.1723 7.7738 90.00 90.00 90.00
With the nearest neighbours (Å) after each atom.
Space group P4/mmm (No. 123)
Unique sites:
Sr1 0.0000 0.0000 0.0000 x1  4 Sr 3.17, 8 Ir 3.24
Sb1 0.0000 0.0000 0.5000 x1  8 Ir 2.72
Ir1 0.5000 0.5000 0.3012 x2  4 Sb 2.72

Properties
ΔE_f (raw) (eV per atom): 0.073
Total magnetic moment (μB per atom): 0.000
Crystal system: tetragonal

***

Record 4
Compound: ReNi2MoO
Source: the Alexandria database
Functional: PBEsol
Structure: relaxed

Lattice parameters (Å, degrees): 4.3516 4.3516 4.6158 90.00 90.00 90.00
With the nearest neighbours (Å) after each atom.
Space group P4/mmm (No. 123)
Unique sites:
Re1 0.0000 0.0000 0.0000 x1  2 Mo 2.31
Ni1 0.0000 0.5000 0.5000 x2  2 Mo 2.18
Mo1 0.0000 0.0000 0.5000 x1  4 Ni 2.18, 2 Re 2.31
O1 0.5000 0.5000 0.0000 x1  4 Re 3.08, 8 Ni 3.17

Properties
ΔE_f (raw) (eV per atom): 2.292
Total magnetic moment (μB per atom): 0.083
Crystal system: tetragonal

***

Record 5
Compound: SrLa2Mn
Source: the Alexandria database
Functional: PBEsol
Structure: relaxed

Lattice parameters (Å, degrees): 3.6978 3.6978 9.2693 90.00 90.00 90.00
With the nearest neighbours (Å) after each atom.
Space group P4mm (No. 99)
Unique sites:
Sr1 0.0000 0.0000 0.0000 x1  4 Mn 3.35, 4 Sr 3.70, 1 La 3.70
La1 0.0000 0.0000 0.6005 x1  4 Mn 3.07
La2 0.5000 0.5000 0.3371 x1  8 La 3.58-3.70
Mn1 0.5000 0.5000 0.7732 x1  4 La 3.07, 4 Sr 3.35

Properties
Total magnetic moment (μB per atom): 0.892
Crystal system: tetragonal
ΔH_f (0 K) (eV/atom): 0.357

***

Record 6
Compound: MgReOs2
Source: the Alexandria database
Functional: PBEsol
Structure: relaxed

Lattice parameters (Å, degrees): 9.9216 2.7914 4.6509 90.00 113.26 90.00
With the nearest neighbours (Å) after each atom.
Space group Cm (No. 8)
Unique sites:
Mg1 0.0000 0.0000 0.0000 x2  7 Os 2.65-2.79, 2 Mg 2.79, 1 Re 2.82
Re1 0.2194 0.0000 0.6115 x2  7 Os 2.60-2.85, 2 Re 2.79, 1 Mg 2.82
Os1 0.2609 0.5000 0.1278 x2  4 Os 2.61-2.79, 3 Mg 2.66-2.79, 4 Re 2.67-2.81
Os2 0.4831 0.0000 0.5033 x2  3 Re 2.60-2.85, 4 Os 2.61-2.79, 4 Mg 2.65-2.79

Properties
Total magnetic moment (μB per atom): 0.000
Crystal system: monoclinic
ΔH_f (0 K) (eV/atom): 0.225

***

- total magnetic moment of number 5 (SrLa2Mn)?
  0.892 μB per atom